Record 1
! BaB6Pt12 (PBE, relaxed); values from VASP
! calculated formation energy: -0.3321 eV per atom
! calculated volume: 15.17 Å³/atom
&SYSTEM
  ibrav = 0, nat = 19, ntyp = 3
/
ATOMIC_SPECIES
Pt 195.08 Pt.upf
B 10.81 B.upf
Ba 137.33 Ba.upf
ATOMIC_POSITIONS angstrom
Pt 5.233 2.245 -1.220
Pt 1.263 -0.179 5.682
Pt 2.908 4.964 0.906
Pt 4.737 -0.413 2.580
Pt 4.476 2.606 1.562
Pt 3.588 -2.898 3.556
Pt 1.759 2.479 1.882
Pt 3.546 0.391 0.249
Pt 0.923 3.752 4.357
Pt 2.021 -0.540 2.900
Pt 5.573 -1.686 0.105
Pt 2.951 1.675 4.213
B 3.464 3.504 3.223
B 3.032 -1.438 1.239
B 5.699 0.890 1.179
B 2.705 2.341 -0.034
B 0.797 1.176 3.284
B 3.791 -0.274 4.496
Ba 0.000 0.000 0.000
CELL_PARAMETERS angstrom
-1.657 2.025 6.433
4.529 -5.207 0.777
3.624 5.248 -2.748


Record 2
! BaB2Pt (PBE, relaxed); values from VASP
! relative energy among the computed polymorphs: 0.000 eV/atom
! calculated formation energy: -0.1858 eV per atom
! calculated volume: 20.68 Å³/atom
&SYSTEM
  ibrav = 0, nat = 8, ntyp = 3
/
ATOMIC_SPECIES
B 10.81 B.upf
Pt 195.08 Pt.upf
Ba 137.33 Ba.upf
ATOMIC_POSITIONS angstrom
B 3.924 2.617 4.534
B 5.233 3.924 1.511
B 5.232 1.308 1.511
B 6.540 2.616 4.534
Pt 0.000 0.000 0.000
Pt 5.232 2.616 3.022
Ba 2.616 5.232 3.022
Ba 2.616 2.616 0.000
CELL_PARAMETERS angstrom
5.232 0.000 0.000
0.000 5.232 0.000
2.616 2.616 6.045


Record 3
! BaB3Pt (PBE, relaxed); values from VASP
! relative energy among the computed polymorphs: 0.000 eV/atom
! calculated formation energy: 0.7496 eV per atom
! calculated volume: 16.01 Å³/atom
&SYSTEM
  ibrav = 0, nat = 5, ntyp = 3
/
ATOMIC_SPECIES
B 10.81 B.upf
Ba 137.33 Ba.upf
Pt 195.08 Pt.upf
ATOMIC_POSITIONS angstrom
B -0.870 1.884 0.578
B -1.625 -1.044 0.955
B -1.115 0.050 -1.843
Ba -3.611 0.891 -0.310
Pt 0.000 0.000 0.000
CELL_PARAMETERS angstrom
-2.230 0.101 -3.686
-3.251 -2.087 1.910
-1.741 3.769 1.156


Record 4
! BaB3Pt (PBE, relaxed); values from VASP
! relative energy among the computed polymorphs: 2.417 eV/atom
! calculated formation energy: 3.1670 eV per atom
! calculated volume: 20.76 Å³/atom
&SYSTEM
  ibrav = 0, nat = 5, ntyp = 3
/
ATOMIC_SPECIES
Ba 137.33 Ba.upf
B 10.81 B.upf
Pt 195.08 Pt.upf
ATOMIC_POSITIONS angstrom
Ba 0.000 0.000 0.000
B 0.026 -0.611 -2.269
B -0.457 -2.227 0.595
B 2.305 -0.435 0.143
Pt 1.874 -3.273 -1.531
CELL_PARAMETERS angstrom
-0.914 -4.454 1.189
0.052 -1.222 -4.538
4.610 -0.869 0.287


Record 5
! BaB2Pt (PBE, relaxed); values from VASP
! relative energy among the computed polymorphs: 1.299 eV/atom
! calculated formation energy: 1.1129 eV per atom
! calculated volume: 16.85 Å³/atom
&SYSTEM
  ibrav = 0, nat = 4, ntyp = 3
/
ATOMIC_SPECIES
B 10.81 B.upf
Ba 137.33 Ba.upf
Pt 195.08 Pt.upf
ATOMIC_POSITIONS angstrom
B -1.196 -0.612 2.453
B -3.587 -1.837 7.360
Ba 0.000 0.000 0.000
Pt -2.391 -1.225 4.907
CELL_PARAMETERS angstrom
0.769 -0.750 4.440
-3.048 1.378 3.111
-2.504 -3.077 2.264


Record 6
! Ba2B2Pt (PBE, relaxed); values from VASP
! relative energy among the computed polymorphs: 0.000 eV/atom
! calculated formation energy: -0.0207 eV per atom
! calculated volume: 22.41 Å³/atom
&SYSTEM
  ibrav = 0, nat = 5, ntyp = 3
/
ATOMIC_SPECIES
Ba 137.33 Ba.upf
B 10.81 B.upf
Pt 195.08 Pt.upf
ATOMIC_POSITIONS angstrom
Ba 2.987 5.975 1.570
Ba 5.975 2.987 1.570
B 5.975 5.975 2.345
B 2.987 2.987 0.794
Pt 0.000 0.000 0.000
CELL_PARAMETERS angstrom
5.975 0.000 0.000
0.000 5.975 0.000
2.987 2.987 3.140


Record 7
! BaB4Pt4 (PBE, relaxed); values from VASP
! calculated formation energy: -0.3925 eV per atom
! calculated volume: 14.47 Å³/atom
&SYSTEM
  ibrav = 0, nat = 18, ntyp = 3
/
ATOMIC_SPECIES
B 10.81 B.upf
Pt 195.08 Pt.upf
Ba 137.33 Ba.upf
ATOMIC_POSITIONS angstrom
B -2.700 2.434 5.525
B -6.869 -0.100 1.555
B -3.044 0.428 1.213
B -6.498 -0.050 6.984
B -5.699 -2.029 6.359
B -6.864 -2.029 2.662
B -1.732 -0.233 2.883
B -4.806 3.145 5.587
Pt -6.615 2.008 6.366
Pt -5.061 1.038 0.775
Pt -5.657 -1.767 0.941
Pt -1.848 1.824 2.266
Pt -1.486 0.766 4.911
Pt -3.887 2.147 7.256
Pt -5.944 -3.029 4.331
Pt -7.715 -1.421 5.921
Ba 0.000 0.000 0.000
Ba -4.777 0.196 4.096
CELL_PARAMETERS angstrom
-2.132 2.667 -1.055
-6.824 -4.992 1.176
-0.596 2.716 8.071


Record 8
! RbBa2BPt (PBE, relaxed); values from VASP
! calculated formation energy: 0.6640 eV per atom
! calculated volume: 45.67 Å³/atom
&SYSTEM
  ibrav = 0, nat = 5, ntyp = 4
/
ATOMIC_SPECIES
Rb 85.47 Rb.upf
B 10.81 B.upf
Pt 195.08 Pt.upf
Ba 137.33 Ba.upf
ATOMIC_POSITIONS angstrom
Rb 0.000 0.000 3.100
B 3.034 3.034 3.100
Pt 0.000 0.000 0.000
Ba 0.000 3.034 0.000
Ba 3.034 0.000 0.000
CELL_PARAMETERS angstrom
6.069 0.000 0.000
0.000 6.069 0.000
0.000 0.000 6.200